AlSnS2: optimized geometry, PBE-GGA.

The structure belongs to space group Pna2_1 (No. 33); the cell edges are 6.066, 9.009 and 7.146 Å and the angles 90.00°, 90.00° and 90.00°. Symmetry generates all atoms from Al at (0.085, 0.123, 0.000), Sn at (0.066, 0.691, 0.929), S at (0.029, 0.058, 0.697) and S at (0.045, 0.644, 0.544).

Its crystal system is orthorhombic. As for the uncorrected formation energy: -2.44 eV/f.u. Its calculated density is 3.6 g/cm³. As for the magnetic moment: 0.000 Bohr magnetons per cell.